(1)
## MgAgSb2 (PBE)

Data for an optimized crystal structure of MgAgSb2.

Unit cell a=5.411 b=5.411 c=5.411 alpha=128.30 beta=128.30 gamma=76.14
Sites, in units of the cell vectors:
1 Mg 0.750 0.250 0.500
2 Ag 0.250 0.750 0.500
3 Sb 0.000 0.000 0.000
4 Sb 0.500 0.500 0.000

## Properties
E_form (uncorrected) = 0.092 eV per formula unit
total magnetic moment = 0.00 μB/atom
calculated volume = 95 Å³ per cell

(2)
## MgAg2SbSe (PBE)

Data for an optimized crystal structure of MgAg2SbSe.

Unit cell a=5.114 b=5.855 c=5.114 alpha=90.00 beta=90.00 gamma=90.00
Sites, in units of the cell vectors:
1 Mg 0.500 0.500 0.500
2 Ag 0.000 0.000 0.500
3 Ag 0.500 0.000 0.000
4 Se 0.000 0.500 0.000
5 Sb 0.000 0.000 0.000

## Properties
E_form (uncorrected) = 1.733 eV per formula unit
total magnetic moment = 0.00 μB/atom
calculated volume = 153 Å³ per cell

(3)
## MgAgSnSb (PBE)

Data for an optimized crystal structure of MgAgSnSb.

Unit cell a=5.120 b=5.120 c=5.120 alpha=60.00 beta=60.00 gamma=60.00
Sites, in units of the cell vectors:
1 Mg 0.000 0.000 0.000
2 Sn 0.250 0.250 0.250
3 Ag 0.500 0.500 0.500
4 Sb 0.750 0.750 0.750

## Properties
E_form (uncorrected) = 0.175 eV per formula unit
total magnetic moment = 0.00 μB/atom
calculated volume = 95 Å³ per cell

(4)
## MgAg7Sn2Sb2 (PBE)

Data for an optimized crystal structure of MgAg7Sn2Sb2.

Unit cell a=4.017 b=4.017 c=16.395 alpha=82.63 beta=82.63 gamma=89.94
Sites, in units of the cell vectors:
1 Ag 0.930 0.429 0.135
2 Ag 0.730 0.730 0.539
3 Ag 0.500 0.500 0.000
4 Ag 0.429 0.930 0.135
5 Ag 0.070 0.571 0.865
6 Ag 0.571 0.070 0.865
7 Ag 0.270 0.270 0.461
8 Sb 0.182 0.182 0.634
9 Sb 0.818 0.818 0.366
10 Sn 0.361 0.361 0.277
11 Sn 0.639 0.639 0.723
12 Mg 0.000 0.000 0.000

## Properties
E_form (uncorrected) = 0.444 eV per formula unit
total magnetic moment = 0.00 μB/atom
calculated volume = 260 Å³ per cell

(5)
## MgAgSb2Te (PBE)

Data for an optimized crystal structure of MgAgSb2Te.

Unit cell a=5.361 b=5.361 c=5.478 alpha=90.00 beta=90.00 gamma=90.00
Sites, in units of the cell vectors:
1 Te 0.000 0.000 0.500
2 Sb 0.500 0.000 0.000
3 Sb 0.000 0.500 0.000
4 Ag 0.500 0.500 0.500
5 Mg 0.000 0.000 0.000

## Properties
E_form (uncorrected) = 2.880 eV per formula unit
total magnetic moment = 0.00 μB/atom
calculated volume = 157 Å³ per cell
excess energy over the best structure of this formula in the dataset = 0.0566 eV/atom

(6)
## MgAgSb2Te (PBE)

Data for an optimized crystal structure of MgAgSb2Te.

Unit cell a=5.343 b=5.343 c=5.562 alpha=90.00 beta=90.00 gamma=90.00
Sites, in units of the cell vectors:
1 Te 0.000 0.000 0.500
2 Mg 0.500 0.500 0.500
3 Ag 0.000 0.000 0.000
4 Sb 0.500 0.000 0.000
5 Sb 0.000 0.500 0.000

## Properties
E_form (uncorrected) = 2.597 eV per formula unit
total magnetic moment = 0.00 μB/atom
calculated volume = 159 Å³ per cell
excess energy over the best structure of this formula in the dataset = 0.0000 eV/atom

(7)
## MgAgSb2Te (PBE)

Data for an optimized crystal structure of MgAgSb2Te.

Unit cell a=5.869 b=5.130 c=5.869 alpha=90.00 beta=90.00 gamma=90.00
Sites, in units of the cell vectors:
1 Sb 0.500 0.000 0.000
2 Sb 0.000 0.000 0.500
3 Mg 0.500 0.500 0.500
4 Ag 0.000 0.500 0.000
5 Te 0.000 0.000 0.000

## Properties
E_form (uncorrected) = 3.137 eV per formula unit
total magnetic moment = 0.00 μB/atom
calculated volume = 177 Å³ per cell
excess energy over the best structure of this formula in the dataset = 0.1079 eV/atom

(8)
## MgTl2AgSb2 (PBE)

Data for an optimized crystal structure of MgTl2AgSb2.

Unit cell a=6.393 b=6.506 c=9.393 alpha=110.26 beta=109.90 gamma=90.00
Sites, in units of the cell vectors:
1 Ag 0.500 0.750 0.000
2 Ag 0.500 0.250 0.000
3 Tl 0.428 0.176 0.352
4 Tl 0.076 0.324 0.648
5 Tl 0.572 0.824 0.648
6 Tl 0.924 0.676 0.352
7 Sb 0.858 0.112 0.224
8 Sb 0.367 0.612 0.224
9 Sb 0.633 0.388 0.776
10 Sb 0.142 0.888 0.776
11 Mg 0.000 0.250 0.000
12 Mg 0.000 0.750 0.000

## Properties
E_form (uncorrected) = -0.619 eV per formula unit
total magnetic moment = 0.00 μB/atom
calculated volume = 342 Å³ per cell

(9)
## Mg2TlAgSb (PBE)

Data for an optimized crystal structure of Mg2TlAgSb.

Unit cell a=5.298 b=5.276 c=5.298 alpha=90.00 beta=90.00 gamma=90.00
Sites, in units of the cell vectors:
1 Mg 0.000 0.000 0.500
2 Mg 0.500 0.000 0.000
3 Sb 0.500 0.500 0.500
4 Tl 0.000 0.000 0.000
5 Ag 0.000 0.500 0.000

## Properties
E_form (uncorrected) = 2.427 eV per formula unit
total magnetic moment = 0.00 μB/atom
calculated volume = 148 Å³ per cell

(10)
## Mg2VAgSb (PBE)

Data for an optimized crystal structure of Mg2VAgSb.

Unit cell a=5.344 b=5.222 c=5.344 alpha=90.00 beta=90.00 gamma=90.00
Sites, in units of the cell vectors:
1 Mg 0.500 0.000 0.000
2 Mg 0.000 0.000 0.500
3 V 0.500 0.500 0.500
4 Sb 0.000 0.000 0.000
5 Ag 0.000 0.500 0.000

## Properties
E_form (uncorrected) = 5.929 eV per formula unit
total magnetic moment = 0.06 μB/atom
calculated volume = 149 Å³ per cell

(11)
## Mg2AgSbW (PBE)

Data for an optimized crystal structure of Mg2AgSbW.

Unit cell a=5.264 b=5.119 c=5.264 alpha=90.00 beta=90.00 gamma=90.00
Sites, in units of the cell vectors:
1 Mg 0.500 0.000 0.000
2 Mg 0.000 0.000 0.500
3 W 0.000 0.000 0.000
4 Sb 0.000 0.500 0.000
5 Ag 0.500 0.500 0.500

## Properties
E_form (uncorrected) = 4.501 eV per formula unit
total magnetic moment = 0.17 μB/atom
calculated volume = 142 Å³ per cell

(12)
## Mg2ZnAg7Sb2 (PBE)

Data for an optimized crystal structure of Mg2ZnAg7Sb2.

Unit cell a=4.227 b=4.227 c=14.549 alpha=73.32 beta=73.32 gamma=90.89
Sites, in units of the cell vectors:
1 Sb 0.312 0.312 0.687
2 Sb 0.688 0.688 0.313
3 Ag 0.759 0.759 0.500
4 Ag 0.500 0.500 0.000
5 Ag 0.351 0.851 0.149
6 Ag 0.241 0.241 0.500
7 Ag 0.851 0.351 0.149
8 Ag 0.149 0.649 0.851
9 Ag 0.649 0.149 0.851
10 Mg 0.189 0.189 0.312
11 Mg 0.811 0.811 0.688
12 Zn 0.000 0.000 0.000

## Properties
E_form (uncorrected) = -0.672 eV per formula unit
total magnetic moment = 0.00 μB/atom
calculated volume = 237 Å³ per cell

> Which of these has the highest total magnetic moment?

Mg2AgSbW

> Which value of E_form (uncorrected) does entry 10 give?

5.929 eV per formula unit

> The lowest E_form (uncorrected) belongs to which entry?

Mg2ZnAg7Sb2

> Which value of total magnetic moment does entry 1 give?

0.00 μB/atom